{
  "formula": "Rb2CrSiO4",
  "functional": "PBE with a Hubbard U",
  "state": "relaxed",
  "vol_a3_per_cell": 329.1,
  "space_group": "No. 70",
  "total_energy_ry_per_atom": -0.462,
  "lattice_angstrom": [[5.269, 0.000, 0.000], [2.634, 6.050, 0.000], [2.634, 0.000, 10.327]],
  "species": ["O", "O", "O", "O", "O", "O", "O", "O", "Rb", "Rb", "Rb", "Rb", "Cr", "Cr", "Si", "Si"],
  "fractional_positions": [[0.405, 0.668, 0.422], [0.345, 0.832, 0.078], [0.255, 0.168, 0.922], [0.822, 0.832, 0.922], [0.577, 0.168, 0.078], [0.173, 0.332, 0.422], [0.495, 0.332, 0.578], [0.928, 0.668, 0.578], [0.572, 0.500, 0.855], [0.822, 0.000, 0.355], [0.928, 0.500, 0.145], [0.178, 0.000, 0.645], [0.750, 0.500, 0.500], [0.000, 0.000, 0.000], [0.500, 0.000, 0.000], [0.250, 0.500, 0.500]]
}